[1]
DFT (PBE-GGA) results for a relaxed ScAlRh5 crystal.

Cell lengths 4.115, 4.115, 6.423 Å; angles 90.00, 90.00, 90.00 degrees
Positions (direct):
Sc 0.000 0.000 0.500
Al 0.500 0.500 0.000
Rh 0.000 0.500 0.781
Rh 0.000 0.500 0.219
Rh 0.500 0.000 0.781
Rh 0.500 0.000 0.219
Rh 0.500 0.500 0.500

## Properties
spin magnetization	0.00	μB per cell
space group	P4/mmm, No. 123
energy	-49.87	eV per formula unit

***

[2]
DFT (PBE-GGA) results for a relaxed MnVHRu2 crystal.

Cell lengths 3.866, 3.866, 3.754 Å; angles 90.00, 90.00, 90.00 degrees
Last column: magnetic moment on the atom in μB.
Positions (direct):
Ru 0.000 0.500 0.000  -0.07
Ru 0.500 0.000 0.000  -0.07
Mn 0.500 0.500 0.500  2.64
H 0.000 0.000 0.000  0.00
V 0.000 0.000 0.500  -0.51

## Properties
spin magnetization	2.05	μB per cell
energy above the most stable polymorph in this dataset	0.0250	eV/atom
space group	P4/mmm, No. 123
energy	-40.45	eV per formula unit

***

[3]
DFT (PBE-GGA) results for a relaxed BaCuAgGe2 crystal.

Cell lengths 4.581, 4.581, 6.205 Å; angles 111.66, 111.66, 90.00 degrees
Positions (direct):
Ba 0.000 0.000 0.000
Cu 0.750 0.250 0.500
Ag 0.250 0.750 0.500
Ge 0.623 0.623 0.247
Ge 0.377 0.377 0.753

## Properties
spin magnetization	0.00	μB per cell
space group	I-4m2, No. 119
energy	-19.58	eV per formula unit

***

[4]
DFT (PBE-GGA) results for a relaxed LiU2S4 crystal.

Cell lengths 3.898, 6.673, 13.254 Å; angles 90.00, 90.00, 106.98 degrees
Last column: magnetic moment on the atom in μB.
Positions (direct):
Li 0.582 0.164 0.750  0.00
Li 0.418 0.836 0.250  0.00
U 0.134 0.269 0.430  2.30
U 0.866 0.731 0.930  2.30
U 0.134 0.269 0.070  2.30
U 0.866 0.731 0.570  2.30
S 0.772 0.544 0.115  -0.07
S 0.772 0.544 0.385  -0.07
S 0.228 0.456 0.885  -0.07
S 0.228 0.456 0.615  -0.07
S 0.961 0.921 0.750  -0.06
S 0.039 0.079 0.250  -0.06
S 0.500 0.000 0.000  -0.09
S 0.500 0.000 0.500  -0.09

## Properties
spin magnetization	9.74	μB per cell
formation energy without anion corrections	-1328	meV per atom
energy above the most stable polymorph in this dataset	0.0301	eV/atom
space group	Cmcm, No. 63
energy	-50.30	eV per formula unit

***

[5]
DFT (PBE-GGA) results for a relaxed MgRhBr crystal.

Cell lengths 3.754, 4.075, 9.629 Å; angles 76.35, 101.14, 90.01 degrees
Positions (direct):
Mg 0.958 0.001 0.039
Mg 0.099 0.355 0.322
Rh 0.488 0.474 0.100
Rh 0.569 0.883 0.261
Br 0.364 0.330 0.849
Br 0.693 0.027 0.512

## Properties
spin magnetization	0.00	μB per cell
formation energy without anion corrections	-508	meV per atom
energy above the most stable polymorph in this dataset	0.0397	eV/atom
space group	P-1, No. 2
energy	-12.14	eV per formula unit

***

[6]
DFT (PBE-GGA) results for a relaxed BaNdCu2 crystal.

Cell lengths 3.779, 3.779, 7.532 Å; angles 90.00, 90.00, 90.00 degrees
Positions (direct):
Nd 0.500 0.500 0.000
Ba 0.500 0.500 0.500
Cu 0.000 0.000 0.814
Cu 0.000 0.000 0.186

## Properties
spin magnetization	0.00	μB per cell
space group	P4/mmm, No. 123
energy	-15.07	eV per formula unit

***

[7]
DFT (PBE-GGA) results for a relaxed InSi2Pt crystal.

Cell lengths 7.364, 7.364, 7.364 Å; angles 27.27, 27.27, 27.27 degrees
Positions (direct):
In 0.498 0.498 0.498
Pt 0.735 0.735 0.735
Si 0.004 0.004 0.004
Si 0.263 0.263 0.263

## Properties
spin magnetization	0.00	μB per cell
formation energy without anion corrections	-32	meV per atom
space group	R3m, No. 160
energy	-19.75	eV per formula unit

***

[8]
DFT (PBE-GGA) results for a relaxed YIn2Os crystal.

Cell lengths 3.399, 3.399, 7.749 Å; angles 90.00, 90.00, 90.00 degrees
Positions (direct):
In 0.000 0.000 0.020
In 0.500 0.500 0.294
Os 0.000 0.000 0.482
Y 0.500 0.500 0.704

## Properties
spin magnetization	0.00	μB per cell
space group	P4mm, No. 99
energy	-23.20	eV per formula unit

***

[9]
DFT (PBE-GGA) results for a relaxed Tb2Sm9Tm crystal.

Cell lengths 5.097, 5.097, 15.285 Å; angles 90.00, 90.00, 90.00 degrees
Positions (direct):
Tb 0.000 0.000 0.333
Tb 0.000 0.000 0.667
Sm 0.500 0.500 0.000
Sm 0.500 0.500 0.333
Sm 0.500 0.500 0.667
Sm 0.500 0.000 0.166
Sm 0.500 0.000 0.500
Sm 0.500 0.000 0.834
Sm 0.000 0.500 0.166
Sm 0.000 0.500 0.500
Sm 0.000 0.500 0.834
Tm 0.000 0.000 0.000

## Properties
spin magnetization	0.00	μB per cell
space group	P4/mmm, No. 123
energy	-55.99	eV per formula unit

***

[10]
DFT (PBE-GGA) results for a relaxed TiHSI crystal.

Cell lengths 3.473, 3.473, 7.269 Å; angles 90.06, 103.76, 120.00 degrees
Positions (direct):
Ti 0.823 0.276 0.098
H 0.502 0.615 0.117
S 0.016 0.872 0.888
I 0.352 0.041 0.393

## Properties
spin magnetization	0.00	μB per cell
space group	R3m, No. 160
energy	-19.79	eV per formula unit

***

[11]
DFT (PBE-GGA) results for a relaxed DyAl2Ir crystal.

Cell lengths 4.600, 4.600, 4.601 Å; angles 60.01, 60.01, 60.00 degrees
Positions (direct):
Ir 0.000 0.000 0.000
Al 0.750 0.750 0.750
Al 0.250 0.250 0.250
Dy 0.500 0.500 0.500

## Properties
spin magnetization	0.00	μB per cell
space group	Fm-3m, No. 225
energy	-23.14	eV per formula unit

***

[12]
DFT (PBE-GGA) results for a relaxed RbCr3Sn crystal.

Cell lengths 5.455, 5.455, 5.455 Å; angles 90.00, 90.00, 90.00 degrees
Last column: magnetic moment on the atom in μB.
Positions (direct):
Cr 0.000 0.500 0.000  4.09
Cr 0.000 0.000 0.500  4.13
Cr 0.500 0.000 0.000  4.01
Sn 0.000 0.000 0.000  -0.12
Rb 0.500 0.500 0.500  0.06

## Properties
spin magnetization	14.67	μB per cell
energy above the most stable polymorph in this dataset	0.0000	eV/atom
space group	Pm-3m, No. 221
energy	-28.33	eV per formula unit

***

[13]
DFT (PBE-GGA) results for a relaxed Tm5ScPb4 crystal.

Cell lengths 3.577, 9.535, 8.832 Å; angles 91.50, 101.68, 90.00 degrees
Positions (direct):
Tm 0.810 0.608 0.620
Tm 0.843 0.243 0.687
Tm 0.157 0.757 0.313
Tm 0.500 0.500 0.000
Tm 0.190 0.392 0.380
Sc 0.500 0.000 0.000
Pb 0.321 0.930 0.643
Pb 0.975 0.757 0.951
Pb 0.679 0.070 0.357
Pb 0.025 0.243 0.049

## Properties
spin magnetization	0.00	μB per cell
space group	C2/m, No. 12
energy	-45.28	eV per formula unit

***

[14]
DFT (PBE-GGA) results for a relaxed NaLi10Ca crystal.

Cell lengths 4.739, 5.960, 10.444 Å; angles 90.00, 90.00, 90.00 degrees
Positions (direct):
Na 0.000 0.500 0.500
Li 0.000 0.000 0.335
Li 0.000 0.500 0.830
Li 0.000 0.500 0.170
Li 0.000 0.000 0.665
Li 0.500 0.000 0.500
Li 0.500 0.500 0.000
Li 0.500 0.246 0.247
Li 0.500 0.754 0.753
Li 0.500 0.754 0.247
Li 0.500 0.246 0.753
Ca 0.000 0.000 0.000

## Properties
spin magnetization	0.00	μB per cell
space group	Pmmm, No. 47
energy	-21.75	eV per formula unit

***

[15]
DFT (PBE-GGA) results for a relaxed TlReHg2 crystal.

Cell lengths 2.964, 2.964, 11.926 Å; angles 90.00, 90.00, 119.94 degrees
Positions (direct):
Hg 0.000 0.000 0.017
Hg 0.500 0.500 0.278
Re 0.000 0.000 0.492
Tl 0.500 0.500 0.713

## Properties
spin magnetization	0.00	μB per cell
energy above the most stable polymorph in this dataset	0.1369	eV/atom
space group	Cmm2, No. 35
energy	-12.46	eV per formula unit

***

[16]
DFT (PBE-GGA) results for a relaxed Ti6VPd8 crystal.

Cell lengths 6.554, 6.554, 6.554 Å; angles 71.12, 71.12, 71.12 degrees
Last column: magnetic moment on the atom in μB.
Positions (direct):
Ti 0.569 0.371 0.836  0.00
Ti 0.371 0.836 0.569  0.00
Ti 0.836 0.569 0.371  0.00
Ti 0.431 0.629 0.164  0.00
Ti 0.629 0.164 0.431  0.00
Ti 0.164 0.431 0.629  0.00
V 0.000 0.000 0.000  0.44
Pd 0.736 0.736 0.736  0.00
Pd 0.264 0.264 0.264  0.00
Pd 0.626 0.933 0.144  0.01
Pd 0.933 0.144 0.626  0.01
Pd 0.144 0.626 0.933  0.01
Pd 0.374 0.067 0.856  0.01
Pd 0.067 0.856 0.374  0.01
Pd 0.856 0.374 0.067  0.01

## Properties
spin magnetization	0.55	μB per cell
space group	R-3, No. 148
energy	-102.83	eV per formula unit

***

[17]
DFT (PBE-GGA) results for a relaxed FeHgPb2 crystal.

Cell lengths 5.231, 5.231, 5.231 Å; angles 60.00, 60.00, 60.00 degrees
Last column: magnetic moment on the atom in μB.
Positions (direct):
Fe 0.500 0.500 0.500  3.10
Hg 0.750 0.750 0.750  0.01
Pb 0.000 0.000 0.000  0.02
Pb 0.250 0.250 0.250  -0.01

## Properties
spin magnetization	3.29	μB per cell
space group	F-43m, No. 216
energy	-13.81	eV per formula unit

***

[18]
DFT (PBE-GGA) results for a relaxed Ac2LaSi4 crystal.

Cell lengths 4.076, 4.650, 9.878 Å; angles 103.61, 101.91, 90.00 degrees
Positions (direct):
Ac 0.818 0.818 0.636
Ac 0.182 0.182 0.364
La 0.500 0.000 0.000
Si 0.635 0.635 0.270
Si 0.365 0.365 0.730
Si 0.063 0.563 0.126
Si 0.937 0.437 0.874

## Properties
spin magnetization	0.01	μB per cell
formation energy without anion corrections	-612	meV per atom
space group	Immm, No. 71
energy	-39.12	eV per formula unit

***

[19]
DFT (PBE-GGA) results for a relaxed BaPdPbO4 crystal.

Cell lengths 6.308, 7.489, 6.577 Å; angles 116.05, 90.00, 114.91 degrees
Positions (direct):
Ba 0.838 0.675 0.088
Ba 0.162 0.325 0.912
Pd 0.500 0.500 0.500
Pd 0.000 0.500 0.500
Pb 0.500 0.000 0.500
Pb 0.500 0.000 0.000
O 0.699 0.397 0.644
O 0.261 0.968 0.234
O 0.708 0.968 0.234
O 0.699 0.397 0.253
O 0.301 0.603 0.747
O 0.739 0.032 0.766
O 0.292 0.032 0.766
O 0.301 0.603 0.356

## Properties
spin magnetization	0.00	μB per cell
formation energy without anion corrections	-1202	meV per atom
space group	Imma, No. 74
energy	-39.07	eV per formula unit